No. 1
Material: SrNiPt2
Method: DFT, PBE
State: optimized geometry

```
SrNiPt2
1.0
3.035 0.000 0.000
0.000 3.366 0.000
0.000 0.000 7.180
Sr Ni Pt
1 1 2
direct
0.000 0.000 0.000 Sr
0.000 0.000 0.500 Ni
0.500 0.500 0.309 Pt
0.500 0.500 0.691 Pt
```

Computed properties:
Its symmetry is Pmmm (47). The calculated formation energy comes out at -0.184 eV per atom. The value obtained for the magnetization is 0.98 μB/f.u.

No. 2
Material: InBrCl
Method: DFT, PBE
State: optimized geometry

```
InBrCl
1.0
5.812 0.000 0.000
1.724 5.768 0.000
1.484 2.357 6.530
In Br Cl
2 2 2
direct
0.150 0.146 0.002 In
0.850 0.854 0.998 In
0.089 0.378 0.263 Br
0.911 0.622 0.737 Br
0.480 0.788 0.242 Cl
0.520 0.212 0.758 Cl
```

Computed properties:
Its symmetry is P-1 (2). The uncorrected formation energy comes out at -0.8834 eV per atom. The value obtained for the magnetization is 0.00 μB/f.u.

No. 3
Material: Pm3Ga2Pd6
Method: DFT, PBE
State: optimized geometry

```
Pm3Ga2Pd6
1.0
-4.787 4.787 4.787
4.787 -4.787 4.787
4.787 4.787 -4.787
Pm Ga Pd
6 4 12
direct
0.000 0.291 0.291 Pm
0.000 0.709 0.709 Pm
0.291 0.000 0.291 Pm
0.291 0.291 0.000 Pm
0.709 0.000 0.709 Pm
0.709 0.709 0.000 Pm
0.000 0.000 0.500 Ga
0.000 0.500 0.000 Ga
0.500 0.000 0.000 Ga
0.500 0.500 0.500 Ga
0.000 0.331 0.669 Pd
0.000 0.669 0.331 Pd
0.331 0.000 0.669 Pd
0.331 0.331 0.662 Pd
0.331 0.662 0.331 Pd
0.331 0.669 0.000 Pd
0.338 0.669 0.669 Pd
0.662 0.331 0.331 Pd
0.669 0.000 0.331 Pd
0.669 0.331 0.000 Pd
0.669 0.338 0.669 Pd
0.669 0.669 0.338 Pd
```

Computed properties:
Its symmetry is Im-3m (229). The calculated formation energy comes out at -0.820 eV per atom. The value obtained for the magnetization is 0.00 μB/f.u.

No. 4
Material: Os2C
Method: DFT, PBE
State: optimized geometry

```
Os2C
1.0
1.373 -5.682 0.000
1.373 5.682 0.000
0.000 0.000 4.499
Os C
4 2
direct
0.068 0.932 0.750 Os
0.212 0.788 0.250 Os
0.788 0.212 0.750 Os
0.932 0.068 0.250 Os
0.429 0.571 0.750 C
0.571 0.429 0.250 C
```

Computed properties:
Its symmetry is Cmcm (63). The value obtained for the energy above the most stable polymorph in this dataset is 422 meV per atom. The calculated formation energy comes out at 0.926 eV per atom. The value obtained for the magnetization is 0.00 μB/f.u.

No. 5
Material: Ac2PmSm4
Method: DFT, PBE
State: optimized geometry

```
Ac2PmSm4
1.0
9.438 0.000 0.000
0.000 9.438 0.000
0.000 0.000 6.140
Ac Pm Sm
4 2 8
direct
0.179 0.179 0.000 Ac
0.321 0.679 0.500 Ac
0.679 0.321 0.500 Ac
0.821 0.821 0.000 Ac
0.000 0.000 0.500 Pm
0.500 0.500 0.000 Pm
0.094 0.361 0.500 Sm
0.139 0.594 0.000 Sm
0.361 0.094 0.500 Sm
0.406 0.861 0.000 Sm
0.594 0.139 0.000 Sm
0.639 0.906 0.500 Sm
0.861 0.406 0.000 Sm
0.906 0.639 0.500 Sm
```

Computed properties:
Its symmetry is P4_2/mnm (136). The value obtained for the energy above the most stable polymorph in this dataset is 0 meV per atom. The calculated formation energy comes out at 0.211 eV per atom. The value obtained for the magnetization is 0.00 μB/f.u.

No. 6
Material: KCr6S8
Method: DFT, PBE
State: optimized geometry

```
KCr6S8
1.0
4.447 2.568 3.716
-4.447 2.568 3.716
0.000 -5.135 3.716
K Cr S
1 6 8
direct
0.000 0.000 0.000 K
0.237 0.412 0.565 Cr
0.412 0.565 0.237 Cr
0.435 0.763 0.588 Cr
0.565 0.237 0.412 Cr
0.588 0.435 0.763 Cr
0.763 0.588 0.435 Cr
0.124 0.726 0.402 S
0.253 0.253 0.253 S
0.274 0.598 0.876 S
0.402 0.124 0.726 S
0.598 0.876 0.274 S
0.726 0.402 0.124 S
0.747 0.747 0.747 S
0.876 0.274 0.598 S
```

Computed properties:
Its symmetry is R-3 (148). The uncorrected formation energy comes out at -0.7122 eV per atom. The value obtained for the magnetization is 1.76 μB/f.u.

No. 7
Material: Ca2HgMoOs
Method: DFT, PBE
State: optimized geometry

```
Ca2HgMoOs
1.0
5.724 0.000 0.000
0.000 5.724 0.000
0.000 0.000 4.560
Ca Hg Mo Os
2 1 1 1
direct
0.000 0.500 0.000 Ca
0.500 0.000 0.000 Ca
0.000 0.000 0.500 Hg
0.500 0.500 0.000 Mo
0.500 0.500 0.500 Os
```

Computed properties:
Its symmetry is P4/mmm (123). The calculated formation energy comes out at 0.876 eV per atom. The value obtained for the magnetization is 0.23 μB/f.u.

No. 8
Material: KHg3Te
Method: DFT, PBE
State: optimized geometry

```
KHg3Te
1.0
5.883 0.000 0.000
0.000 5.883 0.000
0.000 0.000 5.883
K Hg Te
1 3 1
direct
0.000 0.000 0.000 K
0.000 0.500 0.500 Hg
0.500 0.000 0.500 Hg
0.500 0.500 0.000 Hg
0.500 0.500 0.500 Te
```

Computed properties:
Its symmetry is Pm-3m (221). The value obtained for the energy above the most stable polymorph in this dataset is 0 meV per atom. The uncorrected formation energy comes out at 0.0134 eV per atom. The value obtained for the magnetization is 0.00 μB/f.u.

No. 9
Material: Zr6Tl5Cd
Method: DFT, PBE
State: optimized geometry

```
Zr6Tl5Cd
1.0
2.690 -8.073 0.000
2.690 8.073 0.000
0.000 0.000 6.313
Zr Tl Cd
6 5 1
direct
0.000 0.000 0.247 Zr
0.000 0.000 0.753 Zr
0.333 0.667 0.249 Zr
0.333 0.667 0.751 Zr
0.667 0.333 0.249 Zr
0.667 0.333 0.751 Zr
0.165 0.835 0.500 Tl
0.166 0.834 0.000 Tl
0.500 0.500 0.000 Tl
0.834 0.166 0.000 Tl
0.835 0.165 0.500 Tl
0.500 0.500 0.500 Cd
```

Computed properties:
Its symmetry is Cmmm (65). The calculated formation energy comes out at -0.009 eV per atom. The value obtained for the magnetization is 0.00 μB/f.u.

No. 10
Material: Na2MgAlIr
Method: DFT, PBE
State: optimized geometry

```
Na2MgAlIr
1.0
5.188 0.000 0.000
0.000 5.188 0.000
0.000 0.000 5.111
Na Mg Al Ir
2 1 1 1
direct
0.000 0.500 0.000 Na
0.500 0.000 0.000 Na
0.000 0.000 0.500 Mg
0.000 0.000 0.000 Al
0.500 0.500 0.500 Ir
```

Computed properties:
Its symmetry is P4/mmm (123). The calculated formation energy comes out at 1.242 eV per atom. The value obtained for the magnetization is 0.82 μB/f.u.

No. 11
Material: Na3PuCd2O6
Method: DFT, PBE
State: optimized geometry

```
Na3PuCd2O6
1.0
2.903 -5.035 0.000
2.903 5.035 0.000
-1.944 0.000 5.607
Na Pu Cd O
3 1 2 6
direct
0.000 0.000 0.000 Na
0.327 0.673 0.000 Na
0.673 0.327 0.000 Na
0.500 0.500 0.500 Pu
0.167 0.833 0.500 Cd
0.833 0.167 0.500 Cd
0.117 0.424 0.274 O
0.270 0.270 0.720 O
0.424 0.117 0.274 O
0.576 0.883 0.726 O
0.730 0.730 0.280 O
0.883 0.576 0.726 O
```

Computed properties:
Its symmetry is C2/m (12). The uncorrected formation energy comes out at -1.7920 eV per atom. The value obtained for the magnetization is 3.00 μB/f.u.

No. 12
Material: B2MoPd
Method: DFT, PBE
State: optimized geometry

```
B2MoPd
1.0
0.000 2.777 2.777
2.777 0.000 2.777
2.777 2.777 0.000
B Mo Pd
2 1 1
direct
0.250 0.250 0.250 B
0.750 0.750 0.750 B
0.000 0.000 0.000 Mo
0.500 0.500 0.500 Pd
```

Computed properties:
Its symmetry is Fm-3m (225). The value obtained for the energy above the most stable polymorph in this dataset is 23 meV per atom. The calculated formation energy comes out at 0.395 eV per atom. The value obtained for the magnetization is 0.00 μB/f.u.

Copy entry 9 word for word.
Material: Zr6Tl5Cd
Method: DFT, PBE
State: optimized geometry

```
Zr6Tl5Cd
1.0
2.690 -8.073 0.000
2.690 8.073 0.000
0.000 0.000 6.313
Zr Tl Cd
6 5 1
direct
0.000 0.000 0.247 Zr
0.000 0.000 0.753 Zr
0.333 0.667 0.249 Zr
0.333 0.667 0.751 Zr
0.667 0.333 0.249 Zr
0.667 0.333 0.751 Zr
0.165 0.835 0.500 Tl
0.166 0.834 0.000 Tl
0.500 0.500 0.000 Tl
0.834 0.166 0.000 Tl
0.835 0.165 0.500 Tl
0.500 0.500 0.500 Cd
```

Computed properties:
Its symmetry is Cmmm (65). The calculated formation energy comes out at -0.009 eV per atom. The value obtained for the magnetization is 0.00 μB/f.u.